A plane-wave DFT calculation with PBE-GGA was carried out for a relaxed structure of Rb4NbGeSe6.

```
12
Lattice="7.242 0.000 0.000 3.497 7.170 0.000 3.451 1.480 8.590" Properties=species:S:1:pos:R:3 pbc="T T T"
Rb 0.000 0.000 0.000
Rb 3.528 3.176 2.173
Rb 7.117 6.054 3.899
Rb 10.591 5.838 7.025
Nb 7.168 1.664 3.837
Ge 7.045 3.060 7.082
Se 6.954 5.413 7.370
Se 5.332 2.285 5.405
Se 3.611 0.174 0.387
Se 7.149 3.046 1.862
Se 8.880 2.450 5.478
Se 10.758 6.443 3.470
```

Output
Symmetry = P1 (1)
DFT total energy = -4.252 eV per atom